This record from Alexandria via LeMat-Bulk describes a crystal of Sb2TeIrI relaxed with PBEsol. The functional is meta-GGA SCAN.

- polymorph energy (0 for the lowest one) (meV/atom) = 1091
- formation energy (no corrections) (eV per atom) = 1.514
- crystal system = tetragonal
- DFT total energy (eV/atom) = -42.41

a b c (Å): 5.7627 5.7627 4.7465
angles (deg): 90.00 90.00 90.00
Closest atoms and distances in Å follow each position.
Space group P4/mmm (No. 123)
One atom of each set of equivalent atoms:
Sb: 0.0000 0.5000 0.0000 x2  2 I 2.88
Te: 0.0000 0.0000 0.5000 x1  8 Sb 3.73, 4 Ir 4.07
Ir: 0.5000 0.5000 0.5000 x1  2 I 2.37
I: 0.5000 0.5000 0.0000 x1  2 Ir 2.37



This record from Alexandria via LeMat-Bulk describes a crystal of Ca2AlRuI relaxed with PBEsol. The functional is meta-GGA SCAN.

- formation energy (no corrections) (eV per atom) = 0.976
- crystal system = tetragonal
- DFT total energy (eV/atom) = -18.75

a b c (Å): 5.5631 5.5631 5.3099
angles (deg): 90.00 90.00 90.00
Closest atoms and distances in Å follow each position.
Space group P4/mmm (No. 123)
One atom of each set of equivalent atoms:
Ca: 0.0000 0.5000 0.0000 x2  2 I 2.78
Al: 0.0000 0.0000 0.5000 x1  2 I 2.65
Ru: 0.5000 0.5000 0.5000 x1  8 Ca 3.85, 4 Al 3.93
I: 0.0000 0.0000 0.0000 x1  2 Al 2.65, 4 Ca 2.78



Question: Which of these has the lowest formation energy (no corrections)?
Answer: Ca2AlRuI



Question: What is the formula in the first record?
Answer: Sb2TeIrI



Please write out number 1 again, unchanged.
This record from Alexandria via LeMat-Bulk describes a crystal of Sb2TeIrI relaxed with PBEsol. The functional is meta-GGA SCAN.

- polymorph energy (0 for the lowest one) (meV/atom) = 1091
- formation energy (no corrections) (eV per atom) = 1.514
- crystal system = tetragonal
- DFT total energy (eV/atom) = -42.41

a b c (Å): 5.7627 5.7627 4.7465
angles (deg): 90.00 90.00 90.00
Closest atoms and distances in Å follow each position.
Space group P4/mmm (No. 123)
One atom of each set of equivalent atoms:
Sb: 0.0000 0.5000 0.0000 x2  2 I 2.88
Te: 0.0000 0.0000 0.5000 x1  8 Sb 3.73, 4 Ir 4.07
Ir: 0.5000 0.5000 0.5000 x1  2 I 2.37
I: 0.5000 0.5000 0.0000 x1  2 Ir 2.37